No. 1
Density functional theory data (GGA-PBE) for crystalline Mn3VNi12 at its relaxed geometry.

Lattice parameters (Å, degrees): 3.561 3.561 14.290 90.00 90.00 90.00
Atoms (fractional coordinates):
1 Mn 0.000 0.000 0.000
2 Mn 0.000 0.000 0.249
3 Mn 0.000 0.000 0.751
4 V 0.000 0.000 0.500
5 Ni 0.000 0.500 0.125
6 Ni 0.000 0.500 0.378
7 Ni 0.000 0.500 0.622
8 Ni 0.000 0.500 0.875
9 Ni 0.500 0.000 0.125
10 Ni 0.500 0.000 0.378
11 Ni 0.500 0.000 0.622
12 Ni 0.500 0.000 0.875
13 Ni 0.500 0.500 0.000
14 Ni 0.500 0.500 0.252
15 Ni 0.500 0.500 0.500
16 Ni 0.500 0.500 0.748

Output
Formation energy from the elements (eV per atom): -0.140
Magnetic moment (μB per formula unit): 14.22
DFT total energy (eV/atom): -6.765
SG: No. 123

=====

No. 2
Density functional theory data (GGA-PBE) for crystalline Y2MnVNi at its relaxed geometry.

Lattice parameters (Å, degrees): 5.273 5.273 4.115 90.00 90.00 90.00
Atoms (fractional coordinates):
1 Y 0.000 0.500 0.000
2 Y 0.500 0.000 0.000
3 Mn 0.000 0.000 0.500
4 V 0.000 0.000 0.000
5 Ni 0.500 0.500 0.500

Output
Formation energy from the elements (eV per atom): 0.773
Magnetic moment (μB per formula unit): 1.90
DFT total energy (eV/atom): -6.627
SG: No. 123

=====

No. 3
Density functional theory data (GGA-PBE) for crystalline MnVZnNi at its relaxed geometry.

Lattice parameters (Å, degrees): 4.081 4.081 4.081 60.00 60.00 60.00
Atoms (fractional coordinates):
1 Mn 0.000 0.000 0.000
2 V 0.750 0.750 0.750
3 Zn 0.250 0.250 0.250
4 Ni 0.500 0.500 0.500

Output
Formation energy from the elements (eV per atom): -0.045
Magnetic moment (μB per formula unit): 0.00
DFT total energy (eV/atom): -6.381
SG: No. 216

=====

No. 4
Density functional theory data (GGA-PBE) for crystalline ZrMnVNi at its relaxed geometry.

Lattice parameters (Å, degrees): 4.342 4.342 4.342 60.00 60.00 60.00
Atoms (fractional coordinates):
1 Zr 0.000 0.000 0.000
2 Mn 0.750 0.750 0.750
3 V 0.500 0.500 0.500
4 Ni 0.250 0.250 0.250

Output
Formation energy from the elements (eV per atom): -0.061
Magnetic moment (μB per formula unit): 0.91
DFT total energy (eV/atom): -8.215
SG: No. 216

=====

No. 5
Density functional theory data (GGA-PBE) for crystalline MnNiW at its relaxed geometry.

Lattice parameters (Å, degrees): 4.018 4.018 4.018 60.00 60.00 60.00
Atoms (fractional coordinates):
1 Mn 0.000 0.000 0.000
2 Ni 0.250 0.250 0.250
3 W 0.500 0.500 0.500

Output
Formation energy from the elements (eV per atom): 0.648
ΔE to the lowest computed polymorph (meV/atom): 610
Magnetic moment (μB per formula unit): 3.77
DFT total energy (eV/atom): -8.653
SG: No. 216

=====

No. 6
Density functional theory data (GGA-PBE) for crystalline MnNi2W at its relaxed geometry.

Lattice parameters (Å, degrees): 4.525 4.525 2.637 90.12 90.12 111.25
Atoms (fractional coordinates):
1 Mn 0.000 0.000 0.000
2 Ni 0.000 0.500 0.500
3 Ni 0.500 0.000 0.500
4 W 0.500 0.500 0.000

Output
Formation energy from the elements (eV per atom): 0.052
ΔE to the lowest computed polymorph (meV/atom): 88
Magnetic moment (μB per formula unit): 2.74
DFT total energy (eV/atom): -8.370
SG: No. 12

=====

No. 7
Density functional theory data (GGA-PBE) for crystalline Mn2NiW at its relaxed geometry.

Lattice parameters (Å, degrees): 8.594 8.594 8.594 17.46 17.46 17.46
Atoms (fractional coordinates):
1 Mn 0.000 0.000 0.000
2 Mn 0.260 0.260 0.260
3 Ni 0.512 0.512 0.512
4 W 0.757 0.757 0.757

Output
Formation energy from the elements (eV per atom): 0.250
ΔE to the lowest computed polymorph (meV/atom): 219
Magnetic moment (μB per formula unit): 0.07
DFT total energy (eV/atom): -9.019
SG: No. 160

=====

No. 8
Density functional theory data (GGA-PBE) for crystalline MnNiW2 at its relaxed geometry.

Lattice parameters (Å, degrees): 2.660 4.330 4.781 90.00 96.05 90.00
Atoms (fractional coordinates):
1 Mn 0.000 0.000 0.000
2 Ni 0.970 0.500 0.295
3 W 0.353 0.500 0.808
4 W 0.572 0.000 0.490

Output
Formation energy from the elements (eV per atom): 0.130
ΔE to the lowest computed polymorph (meV/atom): 35
Magnetic moment (μB per formula unit): 1.40
DFT total energy (eV/atom): -10.084
SG: No. 6